The following is a DFT calculation (PBE-GGA) of crystalline Zr3GeAs at its relaxed geometry.

Cell and atoms, written as CIF:
```
data_Zr3GeAs
_chemical_formula_sum 'Zr3 Ge1 As1'
_cell_length_a 4.9853
_cell_length_b 4.9853
_cell_length_c 4.9853
_cell_angle_alpha 90.00
_cell_angle_beta 90.00
_cell_angle_gamma 90.00
_symmetry_space_group_name_H-M 'P m -3 m'
_symmetry_Int_Tables_number 221
_symmetry_space_group_name_Hall '-P 4 2 3'
loop_
_atom_site_label
_atom_site_type_symbol
_atom_site_fract_x
_atom_site_fract_y
_atom_site_fract_z
Zr1 Zr 0.0000 0.0000 0.5000
Ge1 Ge 0.5000 0.5000 0.5000
As1 As 0.0000 0.0000 0.0000
```

Magnetization ... 0.00 μB per formula unit
Offset from the most stable computed form ... 0 meV/atom
ΔH_f (0 K) ... 0.449 eV per formula unit
V ... 24.8 Å³/atom